(1)
! Zr2CdPt PBE-GGA relaxed; values from VASP
&SYSTEM
  ibrav = 0, nat = 16, ntyp = 3
/
ATOMIC_SPECIES
Zr 91.22 Zr.upf
Cd 112.41 Cd.upf
Pt 195.08 Pt.upf
CELL_PARAMETERS angstrom
6.8013 0.0000 0.0000
0.0000 6.8013 0.0000
0.0000 0.0000 6.8013
ATOMIC_POSITIONS crystal
Zr 0.0000 0.0000 0.0000
Zr 0.0000 0.5000 0.5000
Zr 0.2500 0.2500 0.2500
Zr 0.2500 0.7500 0.7500
Zr 0.5000 0.0000 0.5000
Zr 0.5000 0.5000 0.0000
Zr 0.7500 0.2500 0.7500
Zr 0.7500 0.7500 0.2500
Cd 0.2500 0.2500 0.7500
Cd 0.2500 0.7500 0.2500
Cd 0.7500 0.2500 0.2500
Cd 0.7500 0.7500 0.7500
Pt 0.0000 0.0000 0.5000
Pt 0.0000 0.5000 0.0000
Pt 0.5000 0.0000 0.0000
Pt 0.5000 0.5000 0.5000
! - Size of the total moment: 8.00 μB per cell
! - ΔH_f (0 K): -0.266 eV/atom
! - Final energy: -25.1 eV/f.u.

(2)
! PuCd PBE-GGA relaxed; values from VASP
&SYSTEM
  ibrav = 0, nat = 8, ntyp = 2
/
ATOMIC_SPECIES
Pu 244.00 Pu.upf
Cd 112.41 Cd.upf
CELL_PARAMETERS angstrom
6.2803 0.0000 0.0000
0.0000 6.2803 0.0000
0.0000 0.0000 6.2803
ATOMIC_POSITIONS crystal
Pu 0.0000 0.0000 0.0000
Pu 0.0000 0.5000 0.5000
Pu 0.5000 0.0000 0.5000
Pu 0.5000 0.5000 0.0000
Cd 0.0000 0.0000 0.5000
Cd 0.0000 0.5000 0.0000
Cd 0.5000 0.0000 0.0000
Cd 0.5000 0.5000 0.5000
! - Size of the total moment: 26.19 μB per cell
! - ΔH_f (0 K): 0.393 eV/atom
! - Final energy: -14.2 eV/f.u.